1.
TeW2Cl after structural relaxation, computed with PBE.

DOS(E_F) = 3.265 states/eV per cell
Final energy = -6.85 eV/atom

Lattice parameters (Å, degrees): 8.708 8.708 8.708 20.49 20.49 20.49
Fractional coordinates of all 4 atoms:
Te: 0.000 0.000 0.000
W: 0.251 0.251 0.251
W: 0.749 0.749 0.749
Cl: 0.500 0.500 0.500

2.
LaZr9O20 after structural relaxation, computed with PBE.

DOS(E_F) = 8.575 states/eV per cell
Final energy = -9.24 eV/atom

Lattice parameters (Å, degrees): 6.382 7.369 8.237 103.01 97.39 106.75
Fractional coordinates of all 30 atoms:
La: 0.000 0.000 0.000
Zr: 0.000 0.500 0.000
Zr: 0.201 0.402 0.403
Zr: 0.203 0.900 0.402
Zr: 0.399 0.301 0.799
Zr: 0.399 0.798 0.800
Zr: 0.601 0.202 0.200
Zr: 0.601 0.699 0.201
Zr: 0.797 0.100 0.598
Zr: 0.799 0.598 0.597
O: 0.047 0.240 0.839
O: 0.052 0.704 0.837
O: 0.143 0.171 0.545
O: 0.150 0.674 0.543
O: 0.264 0.626 0.249
O: 0.272 0.136 0.266
O: 0.356 0.575 0.951
O: 0.372 0.080 0.943
O: 0.442 0.519 0.647
O: 0.443 0.025 0.645
O: 0.557 0.975 0.355
O: 0.558 0.481 0.353
O: 0.628 0.920 0.057
O: 0.644 0.425 0.049
O: 0.728 0.864 0.734
O: 0.736 0.374 0.751
O: 0.850 0.326 0.457
O: 0.857 0.829 0.455
O: 0.948 0.296 0.163
O: 0.953 0.760 0.161